1.
Ba3LiSb2O9: relaxed, PBE-GGA.

Summary:
Total DFT energy (no corrections)   -91.21 eV per cell
M_tot   0.952 μB per cell

Cell and atoms, written as POSCAR:
```
Ba3LiSb2O9
1.0
-5.027 -2.164 -2.115
2.145 -1.996 5.083
-3.726 5.145 3.592
Ba Li Sb O
3 1 2 9
direct
0.000 0.000 0.000
0.333 0.667 0.650
0.667 0.333 0.350
0.000 0.000 0.500
0.667 0.333 0.832
0.333 0.667 0.168
0.500 0.000 0.000
0.827 0.655 0.682
0.345 0.173 0.682
0.173 0.345 0.318
0.500 0.500 0.000
0.827 0.173 0.682
0.000 0.500 0.000
0.173 0.827 0.318
0.655 0.827 0.318
```

***

2.
Ac2LaNi: relaxed, PBE-GGA.

Summary:
Formation energy   -0.60 eV/f.u.
M_tot   0.000 μB per cell

Cell and atoms, written as POSCAR:
```
Ac2LaNi
1.0
6.829 0.000 0.000
0.000 7.445 0.000
0.000 0.000 10.594
Ac La Ni
8 4 4
direct
0.674 0.826 0.930
0.326 0.174 0.070
0.174 0.674 0.070
0.174 0.674 0.430
0.326 0.174 0.430
0.826 0.326 0.930
0.826 0.326 0.570
0.674 0.826 0.570
0.659 0.543 0.250
0.841 0.043 0.250
0.159 0.957 0.750
0.341 0.457 0.750
0.550 0.124 0.750
0.950 0.624 0.750
0.050 0.376 0.250
0.450 0.876 0.250
```

***

3.
La4GaI4: relaxed, PBE-GGA.

Summary:
Total DFT energy (no corrections)   -39.07 eV per cell
M_tot   0.000 μB per cell

Cell and atoms, written as POSCAR:
```
La4GaI4
1.0
-0.335 -2.062 3.984
4.739 -6.185 -0.263
8.313 3.352 4.974
I La Ga
4 4 1
direct
0.321 0.582 0.777
0.099 0.207 0.596
0.901 0.793 0.404
0.679 0.418 0.223
0.316 0.094 0.275
0.096 0.731 0.077
0.684 0.906 0.725
0.904 0.269 0.923
0.500 0.000 0.000
```

***

4.
Y2TlC: relaxed, PBE-GGA.

Summary:
Formation energy   -0.28 eV/f.u.
M_tot   0.000 μB per cell

Cell and atoms, written as POSCAR:
```
Y2TlC
1.0
-1.581 6.958 -0.818
-6.049 -0.932 3.759
-1.926 3.823 4.712
Y Tl C
4 2 2
direct
0.875 0.785 0.750
0.375 0.465 0.750
0.535 0.125 0.250
0.215 0.625 0.250
0.750 0.250 0.500
0.000 0.000 0.000
0.500 0.500 0.000
0.250 0.750 0.500
```